1.
Compound: Hf3Cd3AgF20
Source: the Alexandria database
Functional: SCAN
Structure: single point on PBEsol structure

CIF file:
```
data_Hf3Cd3AgF20
_chemical_formula_sum 'Hf6 Cd6 Ag2 F40'
_cell_length_a 10.5060
_cell_length_b 10.5060
_cell_length_c 8.3472
_cell_angle_alpha 90.00
_cell_angle_beta 90.00
_cell_angle_gamma 120.00
_space_group_name_H-M_alt 'P 63/m'
_space_group_IT_number 176
_space_group_name_Hall '-P 6c'
loop_
_atom_site_label
_atom_site_fract_x
_atom_site_fract_y
_atom_site_fract_z
Hf1 0.1386 0.4163 0.2500
Cd1 0.1633 0.4328 0.7500
Ag1 0.0000 0.0000 0.2500
F1 0.0000 0.0000 0.0000
F2 0.0330 0.7993 0.7500
F3 0.0564 0.7749 0.2500
F4 0.0582 0.5863 0.7500
F5 0.1453 0.4257 0.0136
F6 0.1845 0.6337 0.2500
F7 0.3333 0.6667 0.7500
```

Raw total energy in eV/atom: -17.31
ΔE_f (raw) in eV per atom: -3.183
Density of states at the Fermi level in states/eV per cell: 2.26

=====

2.
Compound: CdAgO2F
Source: the Alexandria database
Functional: SCAN
Structure: single point on PBEsol structure

CIF file:
```
data_CdAgO2F
_chemical_formula_sum 'Cd1 Ag1 O2 F1'
_cell_length_a 4.031
_cell_length_b 4.031
_cell_length_c 4.035
_cell_angle_alpha 90.00
_cell_angle_beta 90.00
_cell_angle_gamma 90.00
_space_group_name_H-M_alt 'P 4/m m m'
_space_group_IT_number 123
_space_group_name_Hall '-P 4 2'
loop_
_atom_site_label
_atom_site_fract_x
_atom_site_fract_y
_atom_site_fract_z
Cd1 0.000 0.000 0.000
Ag1 0.500 0.500 0.500
O1 0.000 0.500 0.500
F1 0.500 0.500 0.000
```

Raw total energy in eV/atom: -16.03
ΔE_f (raw) in eV per atom: -0.475
Density of states at the Fermi level in states/eV per cell: 1.21

=====

3.
Compound: CdFe2Ag
Source: the Alexandria database
Functional: SCAN
Structure: single point on PBEsol structure

CIF file:
```
data_CdFe2Ag
_chemical_formula_sum 'Cd2 Fe4 Ag2'
_cell_length_a 2.887
_cell_length_b 4.574
_cell_length_c 8.891
_cell_angle_alpha 90.00
_cell_angle_beta 90.00
_cell_angle_gamma 90.00
_space_group_name_H-M_alt 'I m m 2'
_space_group_IT_number 44
loop_
_space_group_symop_operation_xyz
'x,y,z'
'-x,-y,z'
'-x,y,z'
'x,-y,z'
'x+1/2,y+1/2,z+1/2'
'-x+1/2,-y+1/2,z+1/2'
'-x+1/2,y+1/2,z+1/2'
'x+1/2,-y+1/2,z+1/2'
loop_
_atom_site_label
_atom_site_fract_x
_atom_site_fract_y
_atom_site_fract_z
Cd1 0.000 0.000 0.000
Fe1 0.000 0.000 0.534
Fe2 0.000 0.500 0.234
Ag1 0.000 0.500 0.775
```

Raw total energy in eV/atom: -24.22
Energy of formation in eV/atom: 0.29
Density of states at the Fermi level in states/eV per cell: 5.06

=====

4.
Compound: CdFe2Ag
Source: the Alexandria database
Functional: SCAN
Structure: single point on PBEsol structure

CIF file:
```
data_CdFe2Ag
_chemical_formula_sum 'Cd1 Fe2 Ag1'
_cell_length_a 3.259
_cell_length_b 3.259
_cell_length_c 5.589
_cell_angle_alpha 90.00
_cell_angle_beta 90.00
_cell_angle_gamma 90.00
_space_group_name_H-M_alt 'P 4/m m m'
_space_group_IT_number 123
_space_group_name_Hall '-P 4 2'
loop_
_atom_site_label
_atom_site_fract_x
_atom_site_fract_y
_atom_site_fract_z
Cd1 0.000 0.000 0.000
Fe1 0.500 0.500 0.274
Ag1 0.000 0.000 0.500
```

Raw total energy in eV/atom: -24.11
Energy of formation in eV/atom: 0.40
Density of states at the Fermi level in states/eV per cell: 2.63

=====

5.
Compound: Cd2FeAg
Source: the Alexandria database
Functional: SCAN
Structure: single point on PBEsol structure

CIF file:
```
data_Cd2FeAg
_chemical_formula_sum 'Cd6 Fe3 Ag3'
_cell_length_a 2.8901
_cell_length_b 2.8901
_cell_length_c 27.7419
_cell_angle_alpha 90.00
_cell_angle_beta 90.00
_cell_angle_gamma 120.00
_space_group_name_H-M_alt 'R -3 m'
_space_group_IT_number 166
_space_group_name_Hall '-R 3 2"'
loop_
_atom_site_label
_atom_site_fract_x
_atom_site_fract_y
_atom_site_fract_z
Cd1 0.0000 0.0000 0.2461
Fe1 0.0000 0.0000 0.5000
Ag1 0.0000 0.0000 0.0000
```

Raw total energy in eV/atom: -27.41
Energy of formation in eV/atom: 0.17
Density of states at the Fermi level in states/eV per cell: 5.27

=====

6.
Compound: CdFe2Ag
Source: the Alexandria database
Functional: SCAN
Structure: single point on PBEsol structure

CIF file:
```
data_CdFe2Ag
_chemical_formula_sum 'Cd2 Fe4 Ag2'
_cell_length_a 3.825
_cell_length_b 3.825
_cell_length_c 7.983
_cell_angle_alpha 90.00
_cell_angle_beta 90.00
_cell_angle_gamma 90.00
_space_group_name_H-M_alt 'I 4/m m m'
_space_group_IT_number 139
_space_group_name_Hall '-I 4 2'
loop_
_atom_site_label
_atom_site_fract_x
_atom_site_fract_y
_atom_site_fract_z
Cd1 0.000 0.000 0.000
Fe1 0.000 0.500 0.250
Ag1 0.000 0.000 0.500
```

Raw total energy in eV/atom: -24.21
Energy of formation in eV/atom: 0.30
Density of states at the Fermi level in states/eV per cell: 5.59

=====

7.
Compound: LaCdFe2Ag
Source: the Alexandria database
Functional: SCAN
Structure: single point on PBEsol structure

CIF file:
```
data_LaCdFe2Ag
_chemical_formula_sum 'La1 Cd1 Fe2 Ag1'
_cell_length_a 4.820
_cell_length_b 4.820
_cell_length_c 4.974
_cell_angle_alpha 90.00
_cell_angle_beta 90.00
_cell_angle_gamma 90.00
_space_group_name_H-M_alt 'P 4/m m m'
_space_group_IT_number 123
_space_group_name_Hall '-P 4 2'
loop_
_atom_site_label
_atom_site_fract_x
_atom_site_fract_y
_atom_site_fract_z
La1 0.000 0.000 0.000
Cd1 0.500 0.500 0.500
Fe1 0.000 0.500 0.500
Ag1 0.500 0.500 0.000
```

Raw total energy in eV/atom: -27.59
Energy of formation in eV/atom: 0.64
Density of states at the Fermi level in states/eV per cell: 5.30

=====

8.
Compound: Cd3GaAg
Source: the Alexandria database
Functional: SCAN
Structure: single point on PBEsol structure

CIF file:
```
data_Cd3GaAg
_chemical_formula_sum 'Cd3 Ga1 Ag1'
_cell_length_a 5.125
_cell_length_b 5.125
_cell_length_c 5.125
_cell_angle_alpha 90.00
_cell_angle_beta 90.00
_cell_angle_gamma 90.00
_space_group_name_H-M_alt 'P m -3 m'
_space_group_IT_number 221
_space_group_name_Hall '-P 4 2 3'
loop_
_atom_site_label
_atom_site_fract_x
_atom_site_fract_y
_atom_site_fract_z
Cd1 0.000 0.000 0.500
Ga1 0.500 0.500 0.500
Ag1 0.000 0.000 0.000
```

Raw total energy in eV/atom: -27.39
Energy of formation in eV/atom: 0.40
Density of states at the Fermi level in states/eV per cell: 2.21